[1]
This record from the Alexandria database describes BeTcW after structural relaxation. The functional is PBE.

Lattice parameters (Å, degrees): 6.1219 5.9475 2.6988 80.72 73.49 25.79
Positions (direct):
W  0.3434  0.3434  0.6566
Be  0.0030  0.0030  0.9970
Tc  0.6536  0.6536  0.3464

Calculated values
Calculated density ... 12.10 g/cm3
SG ... Fmm2 (42)
Crystal system ... orthorhombic
Energy ... -26.6 eV/cell

---

[2]
This record from the Alexandria database describes CeNd3F after structural relaxation. The functional is PBE.

Lattice parameters (Å, degrees): 5.1789 5.1789 5.1789 90.00 90.00 90.00
Positions (direct):
F  0.0000  0.0000  0.0000
Ce  0.5000  0.5000  0.5000
Nd  0.0000  0.5000  0.0000
Nd  0.5000  0.0000  0.0000
Nd  0.0000  0.0000  0.5000

Calculated values
Calculated density ... 7.08 g/cm3
SG ... Pm-3m (221)
Crystal system ... cubic
Energy ... -26.6 eV/cell
ΔE_f (raw) ... -0.91 eV per atom

---

[3]
This record from the Alexandria database describes Ba6As2SBr3 after structural relaxation. The functional is PBE.

Lattice parameters (Å, degrees): 8.1803 8.1803 8.3456 99.40 99.40 120.02
Positions (direct):
Ba  0.7415  0.7415  0.2195
Ba  0.9268  0.5951  0.7802
Ba  0.0732  0.4049  0.2198
Ba  0.4049  0.0732  0.2198
Ba  0.5951  0.9268  0.7802
Ba  0.2585  0.2585  0.7805
As  0.3334  0.6666  0.0000
As  0.6666  0.3334  0.0000
Br  0.1676  0.8324  0.5000
Br  0.5000  0.5000  0.5000
Br  0.8324  0.1676  0.5000
S  0.0000  0.0000  0.0000

Calculated values
Calculated density ... 4.53 g/cm3
SG ... C2/m (12)
Crystal system ... monoclinic
Energy ... -50.4 eV/cell
ΔE_f (raw) ... -1.70 eV per atom

---

[4]
This record from the Alexandria database describes Ce2Pm3Te8 after structural relaxation. The functional is PBE.

Lattice parameters (Å, degrees): 5.3907 10.8045 9.4002 125.07 90.00 90.00
Positions (direct):
Pm  0.5000  0.0000  0.0000
Pm  0.0000  0.2764  0.0000
Pm  0.0000  0.7236  0.0000
Ce  0.5000  0.7396  0.4793
Ce  0.5000  0.2604  0.5207
Te  0.5000  0.8835  0.2485
Te  0.0000  0.3695  0.7388
Te  0.0000  0.8806  0.7612
Te  0.0000  0.6305  0.2612
Te  0.5000  0.6350  0.7516
Te  0.5000  0.1165  0.7515
Te  0.0000  0.1194  0.2388
Te  0.5000  0.3650  0.2484

Calculated values
Calculated density ... 6.43 g/cm3
SG ... Cmmm (65)
Crystal system ... orthorhombic
Energy ... -67.2 eV/cell
ΔE_f (raw) ... -1.23 eV per atom

---

[5]
This record from the Alexandria database describes NbRe4W after structural relaxation. The functional is PBE.

Lattice parameters (Å, degrees): 5.1690 5.1690 5.1690 60.00 60.00 60.00
Positions (direct):
Re  0.1241  0.6253  0.6253
Re  0.6253  0.6253  0.6253
Re  0.6253  0.6253  0.1241
Re  0.6253  0.1241  0.6253
W  0.2500  0.2500  0.2500
Nb  0.0000  0.0000  0.0000

Calculated values
Calculated density ... 17.37 g/cm3
SG ... F-43m (216)
Crystal system ... cubic
Energy ... -72.3 eV/cell

---

[6]
This record from the Alexandria database describes MgMoBr2 after structural relaxation. The functional is PBE.

Lattice parameters (Å, degrees): 5.6448 5.8641 3.5477 93.25 69.90 122.50
Positions (direct):
Br  0.0000  0.0000  0.0000
Br  0.0000  0.5000  0.5000
Mo  0.5000  0.0000  0.5000
Mg  0.5000  0.5000  0.0000

Calculated values
Calculated density ... 5.07 g/cm3
SG ... C2/m (12)
Crystal system ... monoclinic
Energy ... -14.5 eV/cell
ΔE_f (raw) ... 0.33 eV per atom

---

[7]
This record from the Alexandria database describes BaNa2Pa2O7 after structural relaxation. The functional is PBE.

Lattice parameters (Å, degrees): 4.4210 4.4216 10.7911 101.82 101.82 90.00
Positions (direct):
Ba  0.0000  0.9999  0.0000
Pa  0.6082  0.6081  0.2163
Pa  0.3918  0.3918  0.7837
O  0.5966  0.0965  0.1932
O  0.7081  0.7080  0.4162
O  0.0965  0.5965  0.1930
O  0.4034  0.9034  0.8068
O  0.9035  0.4036  0.8070
O  0.5000  0.5000  0.0000
O  0.2919  0.2919  0.5838
Na  0.2502  0.7502  0.5004
Na  0.7498  0.2498  0.4996

Calculated values
Calculated density ... 6.23 g/cm3
SG ... Immm (71)
Crystal system ... orthorhombic
Energy ... -95.0 eV/cell
ΔE_f (raw) ... -3.06 eV per atom

---

[8]
This record from the Alexandria database describes P2S2F after structural relaxation. The functional is PBE.

Lattice parameters (Å, degrees): 4.9353 4.9353 3.6129 90.00 90.00 90.00
Positions (direct):
P  0.0000  0.0000  0.5000
P  0.5000  0.5000  0.5000
F  0.0000  0.0000  0.0000
S  0.0000  0.5000  0.0000
S  0.5000  0.0000  0.0000

Calculated values
Calculated density ... 2.74 g/cm3
SG ... P4/mmm (123)
Crystal system ... tetragonal
Energy ... -15.9 eV/cell
ΔE_f (raw) ... 1.01 eV per atom

---

> What is the calculated density in the sixth record?

5.07 g/cm3

---

What did the fourth record say?
This record from the Alexandria database describes Ce2Pm3Te8 after structural relaxation. The functional is PBE.

Lattice parameters (Å, degrees): 5.3907 10.8045 9.4002 125.07 90.00 90.00
Positions (direct):
Pm  0.5000  0.0000  0.0000
Pm  0.0000  0.2764  0.0000
Pm  0.0000  0.7236  0.0000
Ce  0.5000  0.7396  0.4793
Ce  0.5000  0.2604  0.5207
Te  0.5000  0.8835  0.2485
Te  0.0000  0.3695  0.7388
Te  0.0000  0.8806  0.7612
Te  0.0000  0.6305  0.2612
Te  0.5000  0.6350  0.7516
Te  0.5000  0.1165  0.7515
Te  0.0000  0.1194  0.2388
Te  0.5000  0.3650  0.2484

Calculated values
Calculated density ... 6.43 g/cm3
SG ... Cmmm (65)
Crystal system ... orthorhombic
Energy ... -67.2 eV/cell
ΔE_f (raw) ... -1.23 eV per atom

---

> The highest calculated density belongs to which entry?

NbRe4W

---

> Look up the energy of the third one.

-50.4 eV/cell